(1)
Entry from Alexandria: a relaxed structure of LaTb5Pr4 (PBE).

abc: 3.6661 3.6661 25.4456
angles: 90.00 90.00 90.00
Last column: nearest neighbours and their distance in Å.
Sites, in units of the cell vectors:
La (0.0000, 0.0000, 0.0000)  8 Tb 3.64, 4 La 3.67
Tb (0.5000, 0.5000, 0.1006)  4 Pr 3.62, 4 La 3.64, 4 Tb 3.67
Tb (0.5000, 0.5000, 0.3001)  8 Pr 3.63, 4 Tb 3.67
Tb (0.5000, 0.5000, 0.5000)  8 Pr 3.63, 4 Tb 3.67
Tb (0.5000, 0.5000, 0.6999)  8 Pr 3.63, 4 Tb 3.67
Tb (0.5000, 0.5000, 0.8994)  4 Pr 3.62, 4 La 3.64, 4 Tb 3.67
Pr (0.0000, 0.0000, 0.2001)  8 Tb 3.62-3.63, 4 Pr 3.67
Pr (0.0000, 0.0000, 0.4000)  8 Tb 3.63, 4 Pr 3.67
Pr (0.0000, 0.0000, 0.6000)  8 Tb 3.63, 4 Pr 3.67
Pr (0.0000, 0.0000, 0.7999)  8 Tb 3.62-3.63, 4 Pr 3.67

---

(2)
Entry from Alexandria: a relaxed structure of K2AgPt (PBE).

abc: 6.4016 6.4016 5.9778
angles: 104.65 104.65 27.41
Last column: nearest neighbours and their distance in Å.
Sites, in units of the cell vectors:
K (0.0000, 0.0000, 0.0000)  2 K 3.03, 3 Pt 3.39, 2 Ag 3.39
K (0.1937, 0.1937, 0.6148)  2 K 3.03, 1 Ag 3.23, 2 Pt 3.38
Ag (0.4169, 0.4169, 0.4347)  2 Pt 2.78, 2 Ag 3.03
Pt (0.7522, 0.7522, 0.1387)  2 Ag 2.78, 2 Pt 3.03

---

Number 1: energy of formation from the pure elements 0.017 eV/atom, E above lowest polymorph 0 meV/atom, total DFT energy (no corrections) -4.70 eV per atom. Number 2: energy of formation from the pure elements 0.080 eV/atom, E above lowest polymorph 60 meV/atom, total DFT energy (no corrections) -2.69 eV per atom.